1.
This record from Alexandria describes crystalline TmU3Pt12 at its relaxed geometry. The functional is PBE.

```
TmU3Pt12
1.0
-3.795 -1.665 -0.043
1.055 -2.319 -3.269
5.147 -12.000 10.174
Tm U Pt
1 3 12
direct
0.000 0.000 0.000
0.000 0.000 0.247
0.000 0.000 0.500
0.000 0.000 0.753
0.500 0.500 0.000
0.500 0.500 0.248
0.500 0.500 0.500
0.500 0.500 0.752
0.500 0.000 0.124
0.500 0.000 0.374
0.500 0.000 0.626
0.500 0.000 0.876
0.000 0.500 0.124
0.000 0.500 0.374
0.000 0.500 0.626
0.000 0.500 0.876
```

Properties
The calculation puts the formation energy at -0.833 eV per atom. As for the space-group type: P4/mmm, No. 123. For the density of states at the Fermi level, the calculation gives 1.232 states/eV per atom. The total DFT energy (no corrections) comes out at -7.7598 eV per atom.

---

2.
This record from Alexandria describes crystalline Y2WAu at its relaxed geometry. The functional is PBE.

```
Y2WAu
1.0
10.197 -0.007 -0.004
9.668 3.242 -0.004
9.668 1.575 2.834
Au W Y
1 1 2
direct
0.492 0.492 0.492
0.757 0.757 0.757
0.012 0.012 0.012
0.239 0.239 0.239
```

Properties
As for the offset from the most stable computed form: 1.87 eV per formula unit. The calculation puts the formation energy at 0.430 eV per atom. As for the space-group type: R3m, No. 160. For the density of states at the Fermi level, the calculation gives 1.101 states/eV per atom. The total DFT energy (no corrections) comes out at -6.8592 eV per atom.

---

| no. | magnetization (Bohr magnetons per cell) |
| --- | --- |
| 1 | 5.2 |
| 2 | 0.0 |